Record 1
Rb8H3Br4Cl: relaxed, PBE. Values from VASP.

Structure (Quantum ESPRESSO input):
```
&SYSTEM
  ibrav = 0, nat = 16, ntyp = 4
/
ATOMIC_SPECIES
H 1.01 H.upf
Rb 85.47 Rb.upf
Br 79.90 Br.upf
Cl 35.45 Cl.upf
CELL_PARAMETERS angstrom
-3.867 -7.926 3.251
8.425 -4.274 -0.399
-0.952 8.015 4.822
ATOMIC_POSITIONS angstrom
H 1.803 -2.092 3.837
H 3.736 1.871 2.211
H 2.279 -6.100 1.426
Rb 4.692 -1.105 2.885
Rb 1.259 -3.122 0.853
Rb 0.838 0.915 3.228
Rb -0.625 -6.984 2.436
Rb -1.085 -3.079 4.789
Rb 2.347 -1.063 6.821
Rb 4.231 2.799 5.237
Rb 2.769 -5.100 4.445
Br -2.409 0.044 4.036
Br -1.933 -3.963 1.625
Br 0.000 0.000 0.000
Br -0.476 4.007 2.411
Cl 4.212 -2.137 -0.200
```

Computed properties:
Volume: 592.6 Å³/cell


Record 2
Rb3HBrCl: relaxed, PBE. Values from VASP.

Structure (Quantum ESPRESSO input):
```
&SYSTEM
  ibrav = 0, nat = 12, ntyp = 4
/
ATOMIC_SPECIES
Br 79.90 Br.upf
H 1.01 H.upf
Rb 85.47 Rb.upf
Cl 35.45 Cl.upf
CELL_PARAMETERS angstrom
4.653 0.000 0.000
0.000 8.038 0.307
0.000 -2.844 11.549
ATOMIC_POSITIONS angstrom
Br 1.163 1.896 3.753
Br 3.490 3.299 8.103
H 3.490 5.956 4.435
H 1.163 -0.762 7.421
Rb 1.163 5.351 9.861
Rb 3.490 0.305 6.062
Rb 3.490 -0.156 1.995
Rb 1.163 1.182 9.673
Rb 1.163 4.889 5.794
Rb 3.490 4.012 2.183
Cl 1.163 5.991 0.827
Cl 3.490 -0.796 11.029
```

Computed properties:
Volume: 436.0 Å³/cell


Record 3
RbHBrCl: relaxed, PBE. Values from VASP.

Structure (Quantum ESPRESSO input):
```
&SYSTEM
  ibrav = 0, nat = 4, ntyp = 4
/
ATOMIC_SPECIES
Cl 35.45 Cl.upf
H 1.01 H.upf
Br 79.90 Br.upf
Rb 85.47 Rb.upf
CELL_PARAMETERS angstrom
-2.748 -4.420 -1.150
4.578 1.038 -2.577
1.206 -2.424 6.434
ATOMIC_POSITIONS angstrom
Cl 1.527 -0.931 -0.072
H 1.944 -2.615 5.403
Br 0.922 -1.659 4.171
Rb -0.156 -3.498 1.465
```

Computed properties:
Volume: 156.9 Å³/cell


Record 4
Rb6H3Br2Cl: relaxed, PBE. Values from VASP.

Structure (Quantum ESPRESSO input):
```
&SYSTEM
  ibrav = 0, nat = 12, ntyp = 4
/
ATOMIC_SPECIES
Rb 85.47 Rb.upf
H 1.01 H.upf
Cl 35.45 Cl.upf
Br 79.90 Br.upf
CELL_PARAMETERS angstrom
-2.529 -3.699 0.987
5.860 -5.296 -4.829
5.059 1.746 8.838
ATOMIC_POSITIONS angstrom
Rb 4.404 -3.936 -3.468
Rb 0.388 -2.210 3.376
Rb 8.003 -5.039 1.620
Rb 4.933 -2.185 4.446
Rb 3.458 -5.063 0.550
Rb 3.987 -3.312 8.465
H 2.253 -2.797 5.951
H 1.666 -4.497 -1.921
H 6.138 -4.451 -0.955
Cl -1.265 -1.850 0.494
Br 5.180 -5.459 3.479
Br 3.210 -1.790 1.517
```

Computed properties:
Volume: 415.6 Å³/cell


Record 5
Rb6HBr2Cl3: relaxed, PBE. Values from VASP.

Structure (Quantum ESPRESSO input):
```
&SYSTEM
  ibrav = 0, nat = 12, ntyp = 4
/
ATOMIC_SPECIES
H 1.01 H.upf
Br 79.90 Br.upf
Rb 85.47 Rb.upf
Cl 35.45 Cl.upf
CELL_PARAMETERS angstrom
-0.895 -1.960 -4.248
7.580 -5.737 1.050
-7.305 -4.528 6.298
ATOMIC_POSITIONS angstrom
H -0.447 -0.980 -2.124
Br -0.555 -8.502 1.370
Br -0.064 -3.723 1.731
Rb -2.118 -6.058 3.242
Rb -6.365 -7.816 2.277
Rb -2.406 -3.171 -0.701
Rb 5.746 -4.409 0.824
Rb 1.786 -9.054 3.801
Rb 1.498 -6.167 -0.141
Cl 3.750 -6.635 2.271
Cl 3.343 -3.849 -1.599
Cl -4.369 -5.590 0.829
```

Computed properties:
Volume: 460.5 Å³/cell


Record 6
ReHBr2Cl: relaxed, PBE. Values from VASP.

Structure (Quantum ESPRESSO input):
```
&SYSTEM
  ibrav = 0, nat = 5, ntyp = 4
/
ATOMIC_SPECIES
Cl 35.45 Cl.upf
Br 79.90 Br.upf
Re 186.21 Re.upf
H 1.01 H.upf
CELL_PARAMETERS angstrom
5.149 0.000 0.000
0.000 4.819 0.000
0.000 0.000 5.149
ATOMIC_POSITIONS angstrom
Cl 0.000 2.409 0.000
Br 0.000 0.000 2.574
Br 2.574 0.000 0.000
Re 0.000 0.000 0.000
H 2.574 2.409 2.574
```

Computed properties:
Volume: 127.7 Å³/cell


The electronic total energy results, record by record, are as follows: -0.206, -0.213, -0.228, -0.200, -0.226, -0.265 Ry per atom.